[1]
# RbLi2CdC2O6F (PBE, relaxed)
# E: -158.971 eV per cell
# density: 3.670 g/cm³
data_RbLi2CdC2O6F
_space_group_name_H-M_alt 'P 63/m'
_space_group_IT_number 176
_space_group_name_Hall '-P 6c'
_cell_length_a 4.9153
_cell_length_b 4.9153
_cell_length_c 15.1689
_cell_angle_alpha 90.00
_cell_angle_beta 90.00
_cell_angle_gamma 120.00
loop_
_atom_site_label
_atom_site_type_symbol
_atom_site_fract_x
_atom_site_fract_y
_atom_site_fract_z
_atom_site_occupancy
Rb1 Rb 0.0000 0.0000 0.2500 1
Li1 Li 0.3333 0.6667 0.1303 1
Cd1 Cd 0.0000 0.0000 0.0000 1
C1 C 0.3333 0.6667 0.5908 1
O1 O 0.0691 0.4040 0.5915 1
F1 F 0.3333 0.6667 0.2500 1

---

[2]
# Nb4CdFeC2 (PBE, relaxed)
# E: -69.710 eV per cell
# density: 7.910 g/cm³
data_Nb4CdFeC2
_space_group_name_H-M_alt 'P -6 m 2'
_space_group_IT_number 187
_space_group_name_Hall 'P -6 2'
_cell_length_a 3.1333
_cell_length_b 3.1333
_cell_length_c 13.9228
_cell_angle_alpha 90.00
_cell_angle_beta 90.00
_cell_angle_gamma 120.00
loop_
_atom_site_label
_atom_site_type_symbol
_atom_site_fract_x
_atom_site_fract_y
_atom_site_fract_z
_atom_site_occupancy
Nb1 Nb 0.0000 0.0000 0.1415 1
Nb2 Nb 0.6667 0.3333 0.3204 1
Cd1 Cd 0.0000 0.0000 0.5000 1
Fe1 Fe 0.6667 0.3333 0.0000 1
C1 C 0.3333 0.6667 0.2332 1